# Gd2Hf2Mo7O28 | Alexandria | PBE+U | relaxed
# DOS at the Fermi energy	0.000	states/eV/atom
# total DFT energy (no corrections)	-1286.11	eV for the cell shown
# M_tot	0.359	μB per atom
data_Gd2Hf2Mo7O28
_cell_length_a 21.312
_cell_length_b 10.056
_cell_length_c 14.077
_cell_angle_alpha 90.00
_cell_angle_beta 111.51
_cell_angle_gamma 90.00
_symmetry_space_group_name_H-M 'C 1 2/c 1'
_symmetry_Int_Tables_number 15
loop_
_symmetry_equiv_pos_as_xyz
'x,y,z'
'-x,-y,-z'
'-x,y,-z+1/2'
'x,-y,z+1/2'
'x+1/2,y+1/2,z'
'-x+1/2,-y+1/2,-z'
'-x+1/2,y+1/2,-z+1/2'
'x+1/2,-y+1/2,z+1/2'
loop_
_atom_site_label
_atom_site_fract_x
_atom_site_fract_y
_atom_site_fract_z
Gd1 0.135 0.010 0.432
Hf1 0.120 0.469 0.692
Mo1 0.000 0.292 0.250
Mo2 0.060 0.135 0.647
Mo3 0.161 0.387 0.979
Mo4 0.244 0.262 0.328
O1 0.022 0.070 0.881
O2 0.047 0.396 0.191
O3 0.052 0.319 0.635
O4 0.057 0.192 0.345
O5 0.096 0.065 0.563
O6 0.111 0.092 0.774
O7 0.118 0.486 0.047
O8 0.132 0.434 0.845
O9 0.146 0.215 0.992
O10 0.186 0.145 0.341
O11 0.194 0.324 0.712
O12 0.197 0.388 0.237
O13 0.214 0.159 0.553
O14 0.248 0.418 0.033